(1)
A relaxed structure of KBe2, computed with PBE.

The total magnetization is 0.0 μB/cell. The calculation puts the polymorph energy (0 for the lowest one) at 618 meV/atom. Its formation energy is 304 kJ/mol of formula units.

a b c (Å): 7.697 7.697 7.697
angles (deg): 90.00 90.00 90.00
Space group Fd-3m (No. 227, origin choice 2)
Symmetry-distinct sites (fractional):
K 0.125 0.125 0.125 [8 per cell]
Be 0.000 0.000 0.500 [16 per cell]


(2)
A relaxed structure of LiBe2Nb, computed with PBE.

The total magnetization is 0.0 μB/cell. The calculation puts the polymorph energy (0 for the lowest one) at 384 meV/atom. Its formation energy is 231 kJ/mol of formula units.

a b c (Å): 6.352 6.352 5.063
angles (deg): 90.00 90.00 90.00
Space group I-42d (No. 122)
Symmetry-distinct sites (fractional):
Li 0.000 0.000 0.000 [4 per cell]
Be 0.226 0.250 0.125 [8 per cell]
Nb 0.000 0.000 0.500 [4 per cell]


(3)
A relaxed structure of SrTa2PdO8, computed with PBE.

The total magnetization is 0.0 μB/cell. Its raw formation energy is -2.15 eV per atom.

a b c (Å): 7.951 6.391 6.894
angles (deg): 90.00 100.22 90.00
Space group C2/m (No. 12)
Symmetry-distinct sites (fractional):
Sr 0.000 0.000 0.000 [2 per cell]
Ta 0.067 0.500 0.245 [4 per cell]
Pd 0.000 0.000 0.500 [2 per cell]
O 0.018 0.225 0.712 [8 per cell]
O 0.165 0.500 0.016 [4 per cell]
O 0.247 0.500 0.455 [4 per cell]


(4)
A relaxed structure of B2C, computed with PBE.

The total magnetization is 0.0 μB/cell. The calculation puts the polymorph energy (0 for the lowest one) at 222 meV/atom. Its formation energy is 118 kJ/mol of formula units.

a b c (Å): 5.333 8.251 4.379
angles (deg): 90.00 110.47 90.00
Space group Cc (No. 9)
Symmetry-distinct sites (fractional):
B 0.000 0.089 0.000 [4 per cell]
B 0.050 0.394 0.171 [4 per cell]
B 0.108 0.409 0.608 [4 per cell]
B 0.414 0.268 0.011 [4 per cell]
C 0.084 0.265 0.913 [4 per cell]
C 0.463 0.421 0.826 [4 per cell]


(5)
A relaxed structure of PrY6Al2, computed with PBE.

The total magnetization is 0.0 μB/cell. Its formation energy is -146 kJ/mol of formula units.

a b c (Å): 12.620 3.712 11.882
angles (deg): 90.00 108.15 90.00
Space group C2/m (No. 12)
Symmetry-distinct sites (fractional):
Pr 0.000 0.000 0.000 [2 per cell]
Y 0.019 0.000 0.333 [4 per cell]
Y 0.190 0.500 0.586 [4 per cell]
Y 0.191 0.500 0.874 [4 per cell]
Al 0.151 0.500 0.215 [4 per cell]


(6)
A relaxed structure of CaZr2W, computed with PBE.

The total magnetization is 0.0 μB/cell. The calculation puts the polymorph energy (0 for the lowest one) at 248 meV/atom. Its formation energy is 178 kJ/mol of formula units.

a b c (Å): 3.477 4.939 10.491
angles (deg): 90.00 90.00 90.00
Space group Cmm2 (No. 35)
Symmetry-distinct sites (fractional):
Ca 0.000 0.000 0.000 [2 per cell]
Zr 0.000 0.000 0.451 [2 per cell]
Zr 0.000 0.500 0.705 [2 per cell]
W 0.000 0.500 0.243 [2 per cell]


(7)
A relaxed structure of Tm5Co2Bi2, computed with PBE.

The total magnetization is 0.0 μB/cell. Its formation energy is -241 kJ/mol of formula units.

a b c (Å): 16.565 8.306 6.707
angles (deg): 90.00 90.00 90.00
Space group Ima2 (No. 46)
Symmetry-distinct sites (fractional):
Tm 0.037 0.214 0.000 [8 per cell]
Tm 0.146 0.584 0.733 [8 per cell]
Tm 0.250 0.207 0.640 [4 per cell]
Co 0.000 0.000 0.296 [4 per cell]
Co 0.250 0.021 0.954 [4 per cell]
Bi 0.112 0.549 0.212 [8 per cell]


(8)
A relaxed structure of GdHoGaAu, computed with PBE.

The total magnetization is 29.4 μB/cell. Its formation energy is -268 kJ/mol of formula units.

a b c (Å): 7.226 7.226 7.226
angles (deg): 90.00 90.00 90.00
Space group F-43m (No. 216)
Symmetry-distinct sites (fractional):
Gd 0.000 0.000 0.000 [4 per cell]
Ho 0.000 0.000 0.500 [4 per cell]
Ga 0.250 0.250 0.750 [4 per cell]
Au 0.250 0.250 0.250 [4 per cell]


(9)
A relaxed structure of SrSn2PdAu, computed with PBE.

The total magnetization is 0.0 μB/cell. The calculation puts the polymorph energy (0 for the lowest one) at 1647 meV/atom. Its formation energy is 507 kJ/mol of formula units.

a b c (Å): 6.028 6.028 5.055
angles (deg): 90.00 90.00 90.00
Space group P4/mmm (No. 123)
Symmetry-distinct sites (fractional):
Sr 0.000 0.000 0.000 [1 per cell]
Sn 0.000 0.500 0.000 [2 per cell]
Pd 0.000 0.000 0.500 [1 per cell]
Au 0.500 0.500 0.500 [1 per cell]


(10)
A relaxed structure of SmTlIn, computed with PBE.

The total magnetization is 0.0 μB/cell. The calculation puts the polymorph energy (0 for the lowest one) at 155 meV/atom. Its formation energy is -54 kJ/mol of formula units.

a b c (Å): 6.511 6.478 9.120
angles (deg): 90.00 110.78 90.00
Space group C2/m (No. 12)
Symmetry-distinct sites (fractional):
Sm 0.164 0.000 0.331 [4 per cell]
Tl 0.150 0.500 0.303 [4 per cell]
In 0.246 0.500 0.000 [4 per cell]


(11)
A relaxed structure of KSc3Cu, computed with PBE.

The total magnetization is 0.0 μB/cell. The calculation puts the polymorph energy (0 for the lowest one) at 1174 meV/atom. Its formation energy is 758 kJ/mol of formula units.

a b c (Å): 4.846 4.846 4.846
angles (deg): 90.00 90.00 90.00
Space group Pm-3m (No. 221)
Symmetry-distinct sites (fractional):
K 0.000 0.000 0.000 [1 per cell]
Sc 0.000 0.000 0.500 [3 per cell]
Cu 0.500 0.500 0.500 [1 per cell]


(12)
A relaxed structure of LiTbNdAg, computed with PBE.

The total magnetization is 0.0 μB/cell. Its formation energy is -26 kJ/mol of formula units.

a b c (Å): 7.447 7.447 7.447
angles (deg): 90.00 90.00 90.00
Space group F-43m (No. 216)
Symmetry-distinct sites (fractional):
Li 0.000 0.000 0.000 [4 per cell]
Tb 0.250 0.250 0.250 [4 per cell]
Nd 0.250 0.250 0.750 [4 per cell]
Ag 0.000 0.000 0.500 [4 per cell]


(13)
A relaxed structure of PmSmHgGe, computed with PBE.

The total magnetization is 0.0 μB/cell. Its formation energy is -220 kJ/mol of formula units.

a b c (Å): 7.444 7.444 7.444
angles (deg): 90.00 90.00 90.00
Space group F-43m (No. 216)
Symmetry-distinct sites (fractional):
Pm 0.000 0.000 0.000 [4 per cell]
Sm 0.000 0.000 0.500 [4 per cell]
Hg 0.250 0.250 0.750 [4 per cell]
Ge 0.250 0.250 0.250 [4 per cell]


(14)
A relaxed structure of BaCrCu4, computed with PBE.

The total magnetization is 18.8 μB/cell. Its formation energy is 195 kJ/mol of formula units.

a b c (Å): 7.507 7.507 7.507
angles (deg): 90.00 90.00 90.00
Space group F-43m (No. 216)
Symmetry-distinct sites (fractional):
Ba 0.000 0.000 0.000 [4 per cell]
Cr 0.250 0.250 0.750 [4 per cell]
Cu 0.122 0.122 0.378 [16 per cell]


(15)
A relaxed structure of KNa2Al, computed with PBE.

The total magnetization is 0.0 μB/cell. Its formation energy is 130 kJ/mol of formula units.

a b c (Å): 5.070 5.070 23.472
angles (deg): 90.00 90.00 90.00
Space group I-42d (No. 122)
Symmetry-distinct sites (fractional):
K 0.000 0.000 0.000 [4 per cell]
Na 0.198 0.250 0.625 [8 per cell]
Al 0.000 0.000 0.500 [4 per cell]


(16)
A relaxed structure of TlBiAu10, computed with PBE.

The total magnetization is 0.0 μB/cell. Its formation energy is 35 kJ/mol of formula units.

a b c (Å): 4.695 5.628 9.791
angles (deg): 90.00 90.00 90.00
Space group Pmmm (No. 47)
Symmetry-distinct sites (fractional):
Tl 0.000 0.000 0.000 [1 per cell]
Bi 0.000 0.500 0.500 [1 per cell]
Au 0.000 0.000 0.335 [2 per cell]
Au 0.000 0.500 0.167 [2 per cell]
Au 0.500 0.000 0.500 [1 per cell]
Au 0.500 0.254 0.255 [4 per cell]
Au 0.500 0.500 0.000 [1 per cell]


(17)
A relaxed structure of Sr2Li15Hg2, computed with PBE.

The total magnetization is 0.0 μB/cell. Its formation energy is -156 kJ/mol of formula units.

a b c (Å): 10.1186 10.1186 14.6108
angles (deg): 90.00 90.00 120.00
Space group R-3m (No. 166, hexagonal axes)
Symmetry-distinct sites (fractional):
Sr 0.0000 0.0000 0.1536 [6 per cell]
Li 0.0000 0.2710 0.5000 [18 per cell]
Li 0.0000 0.5000 0.0000 [9 per cell]
Li 0.0169 0.5084 0.3522 [18 per cell]
Hg 0.0000 0.0000 0.3912 [6 per cell]


(18)
A relaxed structure of BaW4, computed with PBE.

The total magnetization is 0.0 μB/cell. The calculation puts the polymorph energy (0 for the lowest one) at 2700 meV/atom. Its formation energy is 1692 kJ/mol of formula units.

a b c (Å): 6.093 6.093 6.093
angles (deg): 90.00 90.00 90.00
Space group Im-3m (No. 229)
Symmetry-distinct sites (fractional):
Ba 0.000 0.000 0.000 [2 per cell]
W 0.250 0.250 0.250 [8 per cell]


(19)
A relaxed structure of CaTlPtO4, computed with PBE.

The total magnetization is 1.8 μB/cell. Its raw formation energy is -1.15 eV per atom.

a b c (Å): 6.631 6.904 9.333
angles (deg): 90.00 90.00 90.00
Space group Imma (No. 74)
Symmetry-distinct sites (fractional):
Ca 0.000 0.250 0.136 [4 per cell]
Tl 0.250 0.250 0.750 [4 per cell]
Pt 0.000 0.000 0.500 [4 per cell]
O 0.000 0.011 0.719 [8 per cell]
O 0.201 0.250 0.501 [8 per cell]


(20)
A relaxed structure of Ce2As3Pt2, computed with PBE.

The total magnetization is 2.3 μB/cell. Its formation energy is -638 kJ/mol of formula units.

a b c (Å): 4.186 19.463 7.367
angles (deg): 90.00 90.00 90.00
Space group Cmcm (No. 63)
Symmetry-distinct sites (fractional):
Ce 0.000 0.072 0.250 [4 per cell]
Ce 0.000 0.147 0.750 [4 per cell]
As 0.000 0.228 0.250 [4 per cell]
As 0.000 0.428 0.030 [8 per cell]
Pt 0.000 0.301 0.546 [8 per cell]